# 1
The following is a PBE-GGA calculation of a relaxed Y3UAg3Te8 crystal, from the Alexandria database.

## Properties
For the density of states at the Fermi level, the calculation gives 0.35 states/eV/atom. As for the calculated volume: 937.8 Å³ per cell. The crystal system is monoclinic. For the raw total energy, the calculation gives -152.50 eV for the cell shown.

Lattice parameters (Å, degrees): 14.850 8.803 8.658 90.00 124.05 90.00
Space group C2/m (No. 12)
Unique sites:
Y 0.000 0.000 0.000 (multiplicity 2)
Y 0.250 0.250 0.500 (multiplicity 4)
U 0.000 0.500 0.000 (multiplicity 2)
Ag 0.000 0.500 0.500 (multiplicity 2)
Ag 0.250 0.250 0.000 (multiplicity 4)
Te 0.001 0.250 0.750 (multiplicity 8)
Te 0.247 0.500 0.751 (multiplicity 4)
Te 0.249 0.000 0.749 (multiplicity 4)


# 2
The following is a PBE-GGA calculation of a relaxed ReSiGe3 crystal, from the Alexandria database.

## Properties
For the density of states at the Fermi level, the calculation gives 0.72 states/eV/atom. As for the calculated volume: 101.9 Å³ per cell. The crystal system is cubic. For the raw total energy, the calculation gives -24.60 eV for the cell shown.

Lattice parameters (Å, degrees): 4.671 4.671 4.671 90.00 90.00 90.00
Space group Pm-3m (No. 221)
Unique sites:
Re 0.000 0.000 0.000 (multiplicity 1)
Si 0.500 0.500 0.500 (multiplicity 1)
Ge 0.000 0.500 0.500 (multiplicity 3)


# 3
The following is a PBE-GGA calculation of a relaxed CaTl2Hg5 crystal, from the Alexandria database.

## Properties
Its energy relative to the elements is -1.6 eV per formula unit. For the density of states at the Fermi level, the calculation gives 0.46 states/eV/atom. As for the calculated volume: 432.5 Å³ per cell. The crystal system is tetragonal. For the raw total energy, the calculation gives -19.63 eV for the cell shown.

Lattice parameters (Å, degrees): 4.855 4.855 18.350 90.00 90.00 90.00
Space group I4/mmm (No. 139)
Unique sites:
Ca 0.000 0.000 0.000 (multiplicity 2)
Tl 0.000 0.000 0.247 (multiplicity 4)
Hg 0.000 0.000 0.500 (multiplicity 2)
Hg 0.000 0.500 0.121 (multiplicity 8)


# 4
The following is a PBE-GGA calculation of a relaxed MgSiAu2 crystal, from the Alexandria database.

## Properties
For the density of states at the Fermi level, the calculation gives 0.36 states/eV/atom. As for the calculated volume: 138.6 Å³ per cell. The crystal system is orthorhombic. For the raw total energy, the calculation gives -28.54 eV for the cell shown.

Lattice parameters (Å, degrees): 5.762 6.529 3.684 90.00 90.00 90.00
Space group Cmmm (No. 65)
Unique sites:
Mg 0.000 0.000 0.000 (multiplicity 2)
Si 0.000 0.500 0.000 (multiplicity 2)
Au 0.250 0.250 0.500 (multiplicity 4)


# 5
The following is a PBE-GGA calculation of a relaxed La3Tb2Pr crystal, from the Alexandria database.

## Properties
Its energy relative to the elements is 1.7 eV per formula unit. For the density of states at the Fermi level, the calculation gives 1.78 states/eV/atom. As for the calculated volume: 424.7 Å³ per cell. The crystal system is orthorhombic. For the raw total energy, the calculation gives -54.23 eV for the cell shown.

Lattice parameters (Å, degrees): 3.513 6.071 19.916 90.00 90.00 90.00
Space group Immm (No. 71)
Unique sites:
La 0.000 0.000 0.000 (multiplicity 2)
La 0.000 0.500 0.190 (multiplicity 4)
Tb 0.000 0.500 0.363 (multiplicity 4)
Pr 0.000 0.500 0.000 (multiplicity 2)


# 6
The following is a PBE-GGA calculation of a relaxed LaCe5Ir4 crystal, from the Alexandria database.

## Properties
Its energy relative to the elements is -5.7 eV per formula unit. For the density of states at the Fermi level, the calculation gives 2.69 states/eV/atom. As for the calculated volume: 547.7 Å³ per cell. The crystal system is monoclinic. For the raw total energy, the calculation gives -151.55 eV for the cell shown.

Lattice parameters (Å, degrees): 18.519 4.232 7.676 90.00 114.43 90.00
Space group C2/m (No. 12)
Unique sites:
La 0.000 0.000 0.000 (multiplicity 2)
Ce 0.000 0.000 0.500 (multiplicity 2)
Ce 0.167 0.500 0.408 (multiplicity 4)
Ce 0.167 0.500 0.924 (multiplicity 4)
Ir 0.000 0.500 0.272 (multiplicity 4)
Ir 0.201 0.000 0.200 (multiplicity 4)


# 7
The following is a PBE-GGA calculation of a relaxed Sc2SiBr crystal, from the Alexandria database.

## Properties
For the density of states at the Fermi level, the calculation gives 0.77 states/eV/atom. As for the calculated volume: 165.2 Å³ per cell. The crystal system is orthorhombic. For the raw total energy, the calculation gives -44.66 eV for the cell shown.

Lattice parameters (Å, degrees): 4.452 3.377 10.990 90.00 90.00 90.00
Space group Amm2 (No. 38)
Unique sites:
Sc 0.000 0.000 0.000 (multiplicity 2)
Sc 0.500 0.000 0.248 (multiplicity 2)
Si 0.000 0.000 0.726 (multiplicity 2)
Br 0.500 0.000 0.484 (multiplicity 2)


# 8
The following is a PBE-GGA calculation of a relaxed BaTeW2 crystal, from the Alexandria database.

## Properties
For the density of states at the Fermi level, the calculation gives 1.00 states/eV/atom. As for the calculated volume: 182.3 Å³ per cell. The crystal system is orthorhombic. For the raw total energy, the calculation gives -50.28 eV for the cell shown.

Lattice parameters (Å, degrees): 3.605 5.106 9.902 90.00 90.00 90.00
Space group Cmmm (No. 65)
Unique sites:
Ba 0.000 0.000 0.000 (multiplicity 2)
Te 0.000 0.000 0.500 (multiplicity 2)
W 0.000 0.500 0.290 (multiplicity 4)


# 9
The following is a PBE-GGA calculation of a relaxed YMnIr2 crystal, from the Alexandria database.

## Properties
Its energy relative to the elements is -1.1 eV per formula unit. For the density of states at the Fermi level, the calculation gives 0.87 states/eV/atom. As for the calculated volume: 277.0 Å³ per cell. The crystal system is cubic. For the raw total energy, the calculation gives -138.00 eV for the cell shown.

Lattice parameters (Å, degrees): 6.519 6.519 6.519 90.00 90.00 90.00
Space group Fm-3m (No. 225)
Unique sites:
Y 0.000 0.000 0.000 (multiplicity 4)
Mn 0.000 0.000 0.500 (multiplicity 4)
Ir 0.250 0.250 0.250 (multiplicity 8)


# 10
The following is a PBE-GGA calculation of a relaxed TlP3H6 crystal, from the Alexandria database.

## Properties
For the density of states at the Fermi level, the calculation gives 0.12 states/eV/atom. As for the calculated volume: 449.7 Å³ per cell. The crystal system is trigonal. For the raw total energy, the calculation gives -107.07 eV for the cell shown.

Lattice parameters (Å, degrees): 10.1283 10.1283 5.0625 90.00 90.00 120.00
Space group R3m (No. 160, hexagonal axes)
Unique sites:
Tl 0.0000 0.0000 0.0000 (multiplicity 3)
P 0.0554 0.5277 0.0265 (multiplicity 9)
H 0.0823 0.1646 0.5675 (multiplicity 9)
H 0.1979 0.3959 0.5548 (multiplicity 9)


# 11
The following is a PBE-GGA calculation of a relaxed Y2FeRh crystal, from the Alexandria database.

## Properties
Its energy relative to the elements is -1.4 eV per formula unit. For the density of states at the Fermi level, the calculation gives 0.92 states/eV/atom. As for the calculated volume: 173.4 Å³ per cell. The crystal system is orthorhombic. For the raw total energy, the calculation gives -60.29 eV for the cell shown.

Lattice parameters (Å, degrees): 3.999 4.096 10.583 90.00 90.00 90.00
Space group Amm2 (No. 38)
Unique sites:
Y 0.000 0.000 0.000 (multiplicity 2)
Y 0.500 0.000 0.293 (multiplicity 2)
Fe 0.000 0.000 0.712 (multiplicity 2)
Rh 0.500 0.000 0.581 (multiplicity 2)


# 12
The following is a PBE-GGA calculation of a relaxed Li5Ca6Mg crystal, from the Alexandria database.

## Properties
Its energy relative to the elements is 0.0 eV per formula unit. For the density of states at the Fermi level, the calculation gives 0.89 states/eV/atom. As for the calculated volume: 749.1 Å³ per cell. The crystal system is monoclinic. For the raw total energy, the calculation gives -46.39 eV for the cell shown.

Lattice parameters (Å, degrees): 17.628 7.955 5.614 90.00 107.92 90.00
Space group C2/m (No. 12)
Unique sites:
Li 0.000 0.000 0.000 (multiplicity 2)
Li 0.164 0.500 0.664 (multiplicity 4)
Li 0.167 0.000 0.667 (multiplicity 4)
Ca 0.000 0.250 0.500 (multiplicity 4)
Ca 0.167 0.250 0.167 (multiplicity 8)
Mg 0.000 0.500 0.000 (multiplicity 2)